HfHgPCl2 | GGA-PBE | relaxed

Relative energy among the computed polymorphs: 6.69 eV/f.u.
Final energy: -3.1928 eV per atom
ΔE_f (raw): 0.679 eV per atom
Calculated volume: 26.121 Å³ per atom
DOS(E_F): 0.517 states/eV per atom

a = 4.998 Å, b = 4.998 Å, c = 5.228 Å
α = 90.00°, β = 90.00°, γ = 90.00°
Space group P4/mmm (No. 123)
One atom of each set of equivalent atoms:
1 Hf 0.000 0.000 0.000
2 Hg 0.500 0.500 0.500
3 P 0.500 0.500 0.000
4 Cl 0.000 0.500 0.500